1.
Here is a geometry-optimized BOsNF2 structure from Alexandria via LeMat-Bulk. Energies are from GGA-PBE.

Its magnetization is 0.77 μB/atom.

The space group is P4/mmm (No. 123) and the conventional cell measures 4.493, 4.493 and 2.690 Å, with angles of 90.00, 90.00 and 90.00 degrees. The distinct sites, in fractional coordinates, are B at (0.000, 0.000, 0.000), Os at (0.500, 0.500, 0.500), N at (0.000, 0.000, 0.500) and F at (0.000, 0.500, 0.000).

2.
Here is a geometry-optimized BOsNF2 structure from Alexandria via LeMat-Bulk. Energies are from GGA-PBE.

Its magnetization is 0.00 μB/atom.

The space group is P4/mmm (No. 123) and the conventional cell measures 4.218, 4.218 and 3.745 Å, with angles of 90.00, 90.00 and 90.00 degrees. The distinct sites, in fractional coordinates, are B at (0.000, 0.000, 0.000), Os at (0.500, 0.500, 0.500), N at (0.500, 0.500, 0.000) and F at (0.000, 0.500, 0.500).

The data favor 1; the next most stable structure lies 428 meV per atom above it.

1.
Here is a geometry-optimized BPNF2 structure from Alexandria via LeMat-Bulk. Energies are from GGA-PBE.

Its magnetization is 0.06 μB/atom.

The space group is P4/mmm (No. 123) and the conventional cell measures 4.472, 4.472 and 2.649 Å, with angles of 90.00, 90.00 and 90.00 degrees. The distinct sites, in fractional coordinates, are B at (0.000, 0.000, 0.000), P at (0.500, 0.500, 0.500), N at (0.000, 0.000, 0.500) and F at (0.000, 0.500, 0.000).

2.
Here is a geometry-optimized BPNF2 structure from Alexandria via LeMat-Bulk. Energies are from GGA-PBE.

Its magnetization is 0.00 μB/atom.

The space group is P4/mmm (No. 123) and the conventional cell measures 4.234, 4.234 and 3.293 Å, with angles of 90.00, 90.00 and 90.00 degrees. The distinct sites, in fractional coordinates, are B at (0.000, 0.000, 0.000), P at (0.500, 0.500, 0.500), N at (0.500, 0.500, 0.000) and F at (0.000, 0.500, 0.500).

The data favor 1; the next most stable structure lies 653 meV per atom above it.